[1]
# YIrW PBE optimized geometry
# Magnetization, μB per formula unit: 0.0
# D(E_F), states/eV per atom: 0.6410
# DFT formation energy, eV per atom: -0.08
data_YIrW
_cell_length_a 3.118
_cell_length_b 3.118
_cell_length_c 12.041
_cell_angle_alpha 90.00
_cell_angle_beta 90.00
_cell_angle_gamma 90.00
_space_group_name_H-M_alt 'I 4 m m'
_space_group_IT_number 107
_space_group_name_Hall 'I 4 -2'
loop_
_atom_site_label
_atom_site_type_symbol
_atom_site_fract_x
_atom_site_fract_y
_atom_site_fract_z
Y1 Y 0.000 0.000 0.000
Ir1 Ir 0.000 0.000 0.691
W1 W 0.000 0.000 0.307

[2]
# Y2IrW PBE optimized geometry
# Magnetization, μB per formula unit: 0.0
# D(E_F), states/eV per atom: 1.0762
# DFT formation energy, eV per atom: 0.24
data_Y2IrW
_cell_length_a 6.818
_cell_length_b 6.818
_cell_length_c 6.818
_cell_angle_alpha 90.00
_cell_angle_beta 90.00
_cell_angle_gamma 90.00
_space_group_name_H-M_alt 'F -4 3 m'
_space_group_IT_number 216
_space_group_name_Hall 'F -4 2 3'
loop_
_atom_site_label
_atom_site_type_symbol
_atom_site_fract_x
_atom_site_fract_y
_atom_site_fract_z
Y1 Y 0.000 0.000 0.000
Y2 Y 0.250 0.250 0.250
Ir1 Ir 0.000 0.000 0.500
W1 W 0.250 0.250 0.750

[3]
# Y2IrW PBE optimized geometry
# Magnetization, μB per formula unit: 0.0
# D(E_F), states/eV per atom: 1.3518
# DFT formation energy, eV per atom: 0.08
data_Y2IrW
_cell_length_a 3.240
_cell_length_b 3.644
_cell_length_c 7.133
_cell_angle_alpha 90.00
_cell_angle_beta 90.00
_cell_angle_gamma 90.00
_space_group_name_H-M_alt 'P m m m'
_space_group_IT_number 47
loop_
_space_group_symop_operation_xyz
'x,y,z'
'-x,-y,-z'
'-x,-y,z'
'x,y,-z'
'x,-y,-z'
'-x,y,z'
'-x,y,-z'
'x,-y,z'
loop_
_atom_site_label
_atom_site_type_symbol
_atom_site_fract_x
_atom_site_fract_y
_atom_site_fract_z
Y1 Y 0.000 0.000 0.235
Ir1 Ir 0.500 0.500 0.000
W1 W 0.500 0.500 0.500

[4]
# Y2IrW PBE optimized geometry
# Magnetization, μB per formula unit: 0.0
# D(E_F), states/eV per atom: 0.8260
# DFT formation energy, eV per atom: -0.03
data_Y2IrW
_cell_length_a 11.383
_cell_length_b 3.201
_cell_length_c 5.313
_cell_angle_alpha 90.00
_cell_angle_beta 115.19
_cell_angle_gamma 90.00
_space_group_name_H-M_alt 'C 1 m 1'
_space_group_IT_number 8
loop_
_space_group_symop_operation_xyz
'x,y,z'
'x,-y,z'
'x+1/2,y+1/2,z'
'x+1/2,-y+1/2,z'
loop_
_atom_site_label
_atom_site_type_symbol
_atom_site_fract_x
_atom_site_fract_y
_atom_site_fract_z
Y1 Y 0.000 0.000 0.000
Y2 Y 0.198 0.000 0.638
Ir1 Ir 0.452 0.000 0.509
W1 W 0.276 0.500 0.193

[5]
# YIr2W PBE optimized geometry
# Magnetization, μB per formula unit: 0.0
# D(E_F), states/eV per atom: 1.1161
# DFT formation energy, eV per atom: -0.07
data_YIr2W
_cell_length_a 4.283
_cell_length_b 4.283
_cell_length_c 7.587
_cell_angle_alpha 90.00
_cell_angle_beta 90.00
_cell_angle_gamma 90.00
_space_group_name_H-M_alt 'I 4/m m m'
_space_group_IT_number 139
_space_group_name_Hall '-I 4 2'
loop_
_atom_site_label
_atom_site_type_symbol
_atom_site_fract_x
_atom_site_fract_y
_atom_site_fract_z
Y1 Y 0.000 0.000 0.000
Ir1 Ir 0.000 0.500 0.250
W1 W 0.000 0.000 0.500

[6]
# YIr2W PBE optimized geometry
# Magnetization, μB per formula unit: 0.0
# D(E_F), states/eV per atom: 1.2744
# DFT formation energy, eV per atom: -0.05
data_YIr2W
_cell_length_a 4.292
_cell_length_b 4.292
_cell_length_c 3.784
_cell_angle_alpha 90.00
_cell_angle_beta 90.00
_cell_angle_gamma 90.00
_space_group_name_H-M_alt 'P 4/m m m'
_space_group_IT_number 123
_space_group_name_Hall '-P 4 2'
loop_
_atom_site_label
_atom_site_type_symbol
_atom_site_fract_x
_atom_site_fract_y
_atom_site_fract_z
Y1 Y 0.000 0.000 0.000
Ir1 Ir 0.000 0.500 0.500
W1 W 0.500 0.500 0.000

[7]
# YIr2W PBE optimized geometry
# Magnetization, μB per formula unit: 0.0
# D(E_F), states/eV per atom: 0.6394
# DFT formation energy, eV per atom: -0.24
data_YIr2W
_cell_length_a 2.973
_cell_length_b 4.677
_cell_length_c 5.114
_cell_angle_alpha 90.00
_cell_angle_beta 99.56
_cell_angle_gamma 90.00
_space_group_name_H-M_alt 'P 1 m 1'
_space_group_IT_number 6
loop_
_space_group_symop_operation_xyz
'x,y,z'
'x,-y,z'
loop_
_atom_site_label
_atom_site_type_symbol
_atom_site_fract_x
_atom_site_fract_y
_atom_site_fract_z
Y1 Y 0.000 0.000 0.000
Ir1 Ir 0.533 0.500 0.117
Ir2 Ir 0.621 0.000 0.487
W1 W 0.218 0.500 0.597

[8]
# Y2IrW PBE optimized geometry
# Magnetization, μB per formula unit: 0.0
# D(E_F), states/eV per atom: 1.2247
# DFT formation energy, eV per atom: 0.25
data_Y2IrW
_cell_length_a 4.014
_cell_length_b 4.852
_cell_length_c 8.609
_cell_angle_alpha 90.00
_cell_angle_beta 90.00
_cell_angle_gamma 90.00
_space_group_name_H-M_alt 'I m m m'
_space_group_IT_number 71
_space_group_name_Hall '-I 2 2'
loop_
_atom_site_label
_atom_site_type_symbol
_atom_site_fract_x
_atom_site_fract_y
_atom_site_fract_z
Y1 Y 0.000 0.000 0.228
Ir1 Ir 0.000 0.500 0.500
W1 W 0.000 0.500 0.000

[9]
# YIr2W PBE optimized geometry
# Magnetization, μB per formula unit: 0.0
# D(E_F), states/eV per atom: 0.8481
# DFT formation energy, eV per atom: -0.18
data_YIr2W
_cell_length_a 6.087
_cell_length_b 7.632
_cell_length_c 2.964
_cell_angle_alpha 90.00
_cell_angle_beta 90.00
_cell_angle_gamma 90.00
_space_group_name_H-M_alt 'C m m m'
_space_group_IT_number 65
_space_group_name_Hall '-C 2 2'
loop_
_atom_site_label
_atom_site_type_symbol
_atom_site_fract_x
_atom_site_fract_y
_atom_site_fract_z
Y1 Y 0.000 0.000 0.000
Ir1 Ir 0.250 0.250 0.500
W1 W 0.000 0.500 0.000

[10]
# YIr2W PBE optimized geometry
# Magnetization, μB per formula unit: 0.0
# D(E_F), states/eV per atom: 1.0832
# DFT formation energy, eV per atom: 0.11
data_YIr2W
_cell_length_a 7.405
_cell_length_b 7.405
_cell_length_c 5.788
_cell_angle_alpha 90.00
_cell_angle_beta 90.00
_cell_angle_gamma 90.00
_space_group_name_H-M_alt 'I -4 2 d'
_space_group_IT_number 122
_space_group_name_Hall 'I -4 2bw'
loop_
_atom_site_label
_atom_site_type_symbol
_atom_site_fract_x
_atom_site_fract_y
_atom_site_fract_z
Y1 Y 0.000 0.000 0.000
Ir1 Ir 0.201 0.250 0.625
W1 W 0.000 0.000 0.500

[11]
# Y2IrW PBE optimized geometry
# Magnetization, μB per formula unit: 0.0
# D(E_F), states/eV per atom: 1.0907
# DFT formation energy, eV per atom: 0.28
data_Y2IrW
_cell_length_a 6.100
_cell_length_b 9.123
_cell_length_c 3.087
_cell_angle_alpha 90.00
_cell_angle_beta 108.26
_cell_angle_gamma 90.00
_space_group_name_H-M_alt 'C 1 2/m 1'
_space_group_IT_number 12
loop_
_space_group_symop_operation_xyz
'x,y,z'
'-x,-y,-z'
'-x,y,-z'
'x,-y,z'
'x+1/2,y+1/2,z'
'-x+1/2,-y+1/2,-z'
'-x+1/2,y+1/2,-z'
'x+1/2,-y+1/2,z'
loop_
_atom_site_label
_atom_site_type_symbol
_atom_site_fract_x
_atom_site_fract_y
_atom_site_fract_z
Y1 Y 0.250 0.250 0.000
Ir1 Ir 0.000 0.000 0.500
W1 W 0.000 0.500 0.500

[12]
# Y2IrW PBE optimized geometry
# Magnetization, μB per formula unit: 0.0
# D(E_F), states/eV per atom: 1.0868
# DFT formation energy, eV per atom: -0.04
data_Y2IrW
_cell_length_a 4.2089
_cell_length_b 4.2089
_cell_length_c 21.4914
_cell_angle_alpha 90.00
_cell_angle_beta 90.00
_cell_angle_gamma 120.00
_space_group_name_H-M_alt 'R 3 m'
_space_group_IT_number 160
_space_group_name_Hall 'R 3 -2"'
loop_
_atom_site_label
_atom_site_type_symbol
_atom_site_fract_x
_atom_site_fract_y
_atom_site_fract_z
Y1 Y 0.0000 0.0000 0.0000
Y2 Y 0.0000 0.0000 0.1876
Ir1 Ir 0.0000 0.0000 0.4379
W1 W 0.0000 0.0000 0.7522